1.
DFT (GGA-PBE) results for an optimized crystal structure of KBeTlCl4.

Values from the calculation:
D(E_F): 0.00 states/eV/cell
E: -50.3 eV per cell

Lattice parameters (Å, degrees): 6.7348 6.8699 9.0942 90.00 108.05 90.00
Fractional positions:
K 0.7875 0.7500 0.4649
K 0.2125 0.2500 0.5351
Be 0.1968 0.7500 0.2856
Be 0.8032 0.2500 0.7144
Tl 0.7149 0.7500 0.9276
Tl 0.2851 0.2500 0.0724
Cl 0.9950 0.4875 0.7735
Cl 0.0050 0.9875 0.2265
Cl 0.0050 0.5125 0.2265
Cl 0.9950 0.0125 0.7735
Cl 0.4043 0.7500 0.1639
Cl 0.5957 0.2500 0.8361
Cl 0.3344 0.7500 0.5181
Cl 0.6656 0.2500 0.4819



2.
DFT (GGA-PBE) results for an optimized crystal structure of K3Zr6BeCl15.

Values from the calculation:
E: -257.7 eV per cell

Lattice parameters (Å, degrees): 10.2134 10.2134 14.4104 87.43 87.43 68.75
Fractional positions:
K 0.9259 0.0741 0.2500
K 0.0741 0.9259 0.7500
K 0.6449 0.1364 0.5727
K 0.3551 0.8636 0.4273
K 0.8636 0.3551 0.9273
K 0.1364 0.6449 0.0727
Zr 0.5502 0.8477 0.1327
Zr 0.4498 0.1523 0.8673
Zr 0.1523 0.4498 0.3673
Zr 0.8477 0.5502 0.6327
Zr 0.2723 0.9967 0.0017
Zr 0.7277 0.0033 0.9983
Zr 0.0033 0.7277 0.4983
Zr 0.9967 0.2723 0.5017
Zr 0.4206 0.1956 0.0971
Zr 0.5794 0.8044 0.9029
Zr 0.8044 0.5794 0.4029
Zr 0.1956 0.4206 0.5971
Be 0.5000 0.0000 0.0000
Be 0.0000 0.5000 0.5000
Cl 0.2973 0.8368 0.1491
Cl 0.7027 0.1632 0.8509
Cl 0.1632 0.7027 0.3509
Cl 0.8368 0.2973 0.6491
Cl 0.5839 0.6755 0.2886
Cl 0.4161 0.3245 0.7114
Cl 0.3245 0.4161 0.2114
Cl 0.6755 0.5839 0.7886
Cl 0.6680 0.2209 0.1020
Cl 0.3320 0.7791 0.8980
Cl 0.7791 0.3320 0.3980
Cl 0.2209 0.6680 0.6020
Cl 0.4786 0.0460 0.2498
Cl 0.5214 0.9540 0.7502
Cl 0.9540 0.5214 0.2502
Cl 0.0460 0.4786 0.7498
Cl 0.6185 0.6430 0.5392
Cl 0.3815 0.3570 0.4608
Cl 0.3570 0.3815 0.9608
Cl 0.6430 0.6185 0.0392
Cl 0.8074 0.8430 0.1442
Cl 0.1926 0.1570 0.8558
Cl 0.1570 0.1926 0.3558
Cl 0.8430 0.8074 0.6442
Cl 0.7859 0.8423 0.3973
Cl 0.2141 0.1577 0.6027
Cl 0.1577 0.2141 0.1027
Cl 0.8423 0.7859 0.8973
Cl 0.0000 0.0000 0.0000
Cl 0.0000 0.0000 0.5000



3.
DFT (GGA-PBE) results for an optimized crystal structure of LaBe2Cl.

Values from the calculation:
relative energy among the computed polymorphs: 0.1609 eV per atom
D(E_F): 0.92 states/eV/cell
E: -14.7 eV per cell

Lattice parameters (Å, degrees): 4.3021 3.5732 5.3431 89.95 90.00 90.00
Fractional positions:
Be 0.0000 0.2483 0.1105
Be 0.5000 0.2497 0.1240
Cl 0.0000 0.2509 0.5306
La 0.5000 0.7511 0.7349



4.
DFT (GGA-PBE) results for an optimized crystal structure of LaBe2Cl.

Values from the calculation:
relative energy among the computed polymorphs: 0.3416 eV per atom
D(E_F): 2.56 states/eV/cell
E: -14.0 eV per cell

Lattice parameters (Å, degrees): 3.4739 4.3778 5.2272 90.00 90.00 90.00
Fractional positions:
Be 0.0000 0.0000 0.0000
Be 0.5000 0.5000 0.0000
Cl 0.5000 0.0000 0.5000
La 0.0000 0.5000 0.5000



5.
DFT (GGA-PBE) results for an optimized crystal structure of LaBeCl2.

Values from the calculation:
relative energy among the computed polymorphs: 0.2415 eV per atom
D(E_F): 3.02 states/eV/cell
E: -15.5 eV per cell

Lattice parameters (Å, degrees): 5.3087 5.3087 5.3087 129.41 129.41 74.36
Fractional positions:
Be 0.7500 0.2500 0.5000
Cl 0.0000 0.0000 0.0000
Cl 0.5000 0.5000 0.0000
La 0.2500 0.7500 0.5000



6.
DFT (GGA-PBE) results for an optimized crystal structure of LaBe2Cl.

Values from the calculation:
relative energy among the computed polymorphs: 0.7208 eV per atom
D(E_F): 2.06 states/eV/cell
E: -12.4 eV per cell

Lattice parameters (Å, degrees): 8.6871 8.6871 8.6871 21.58 21.58 21.58
Fractional positions:
Be 0.9835 0.9835 0.9835
Be 0.5165 0.5165 0.5165
Cl 0.2500 0.2500 0.2500
La 0.7500 0.7500 0.7500



7.
DFT (GGA-PBE) results for an optimized crystal structure of LaBeCl2.

Values from the calculation:
relative energy among the computed polymorphs: 0.3235 eV per atom
D(E_F): 2.91 states/eV/cell
E: -15.2 eV per cell

Lattice parameters (Å, degrees): 8.7079 8.7079 8.7079 23.77 23.77 23.77
Fractional positions:
Be 0.0000 0.0000 0.0000
Cl 0.9169 0.9169 0.9169
Cl 0.0831 0.0831 0.0831
La 0.5000 0.5000 0.5000



8.
DFT (GGA-PBE) results for an optimized crystal structure of LaBeCl2.

Values from the calculation:
relative energy among the computed polymorphs: 0.0020 eV per atom
D(E_F): 1.99 states/eV/cell
E: -16.5 eV per cell

Lattice parameters (Å, degrees): 9.1022 9.1022 3.5377 78.91 78.91 21.92
Fractional positions:
Be 0.1900 0.1900 0.9360
Cl 0.9779 0.9779 0.1476
Cl 0.7560 0.7560 0.8657
La 0.5761 0.5761 0.5507